Entry 1:
La2MnRu PBE relaxed; formation energy from the elements = 0.22 eV per atom
1.0
-4.497 0.123 -2.136
-0.614 -1.771 -4.613
-2.527 -4.229 -0.728
La Mn Ru
2 1 1
Direct
0.000 0.000 0.000 La
0.250 0.250 0.250 La
0.500 0.500 0.500 Mn
0.750 0.750 0.750 Ru


Entry 2:
La2MnRu PBE relaxed; formation energy from the elements = 0.09 eV per atom
1.0
-2.985 -0.892 -1.765
-1.620 -0.720 3.111
-2.386 7.163 0.415
La Mn Ru
2 1 1
Direct
0.000 0.000 0.983 La
0.000 0.000 0.517 La
0.500 0.500 0.250 Mn
0.500 0.500 0.750 Ru


Entry 3:
La2TiMnRu PBE relaxed; formation energy from the elements = 0.56 eV per atom
1.0
5.155 0.000 0.000
0.000 4.414 0.000
0.000 0.000 5.155
Ru Mn Ti La
1 1 1 2
Direct
0.500 0.500 0.500 Ru
0.000 0.000 0.000 Mn
0.000 0.500 0.000 Ti
0.000 0.000 0.500 La
0.500 0.000 0.000 La


Entry 4:
LaMn3S PBE relaxed; uncorrected formation energy = 0.0258 eV/atom
1.0
4.492 0.000 0.000
0.000 4.492 0.000
0.000 0.000 4.492
S Mn La
1 3 1
Direct
0.000 0.000 0.000 S
0.000 0.500 0.000 Mn
0.000 0.000 0.500 Mn
0.500 0.000 0.000 Mn
0.500 0.500 0.500 La


Entry 5:
La3MnS5 PBE relaxed; uncorrected formation energy = -1.7872 eV/atom
1.0
8.147 0.000 0.000
-4.074 7.056 0.000
0.000 0.000 7.022
S Mn La
10 2 6
Direct
0.239 0.239 0.750 S
0.761 0.000 0.750 S
0.000 0.761 0.750 S
0.761 0.761 0.250 S
0.239 0.000 0.250 S
0.000 0.239 0.250 S
0.667 0.333 0.000 S
0.333 0.667 0.000 S
0.333 0.667 0.500 S
0.667 0.333 0.500 S
0.000 0.000 0.000 Mn
0.000 0.000 0.500 Mn
0.599 0.599 0.750 La
0.401 0.000 0.750 La
0.000 0.401 0.750 La
0.401 0.401 0.250 La
0.599 0.000 0.250 La
0.000 0.599 0.250 La


Entry 6:
La3MnS6 PBE relaxed; uncorrected formation energy = -1.7435 eV/atom
1.0
-4.879 2.934 -3.718
-2.778 -8.001 -2.669
-4.781 1.371 7.357
La Mn S
6 2 12
Direct
0.475 0.916 0.714 La
0.975 0.714 0.916 La
0.410 0.395 0.605 La
0.910 0.605 0.395 La
0.975 0.084 0.286 La
0.475 0.286 0.084 La
0.022 0.195 0.805 Mn
0.522 0.805 0.195 Mn
0.194 0.680 0.641 S
0.694 0.641 0.680 S
0.185 0.419 0.899 S
0.685 0.899 0.419 S
0.162 0.042 0.958 S
0.684 0.215 0.785 S
0.184 0.785 0.215 S
0.662 0.958 0.042 S
0.185 0.101 0.581 S
0.685 0.581 0.101 S
0.194 0.359 0.320 S
0.694 0.320 0.359 S


Entry 7:
La3Mn5S12 PBE relaxed; uncorrected formation energy = -1.1366 eV/atom
1.0
-3.752 -6.569 10.790
11.149 -5.240 -4.678
2.037 12.657 3.049
La Mn S
12 20 48
Direct
0.750 0.375 0.125 La
0.875 0.750 0.125 La
0.375 0.750 0.625 La
0.250 0.125 0.375 La
0.875 0.125 0.250 La
0.375 0.625 0.250 La
0.625 0.375 0.750 La
0.125 0.875 0.750 La
0.750 0.875 0.625 La
0.625 0.250 0.375 La
0.125 0.250 0.875 La
0.250 0.625 0.875 La
0.125 0.375 0.250 Mn
0.000 0.500 0.000 Mn
0.000 0.000 0.000 Mn
0.375 0.250 0.125 Mn
0.500 0.000 0.500 Mn
0.500 0.500 0.000 Mn
0.125 0.750 0.375 Mn
0.750 0.125 0.875 Mn
0.750 0.625 0.375 Mn
0.375 0.125 0.750 Mn
0.625 0.875 0.250 Mn
0.500 0.500 0.500 Mn
0.500 0.000 0.000 Mn
0.000 0.000 0.500 Mn
0.250 0.375 0.625 Mn
0.250 0.875 0.125 Mn
0.000 0.500 0.500 Mn
0.875 0.250 0.625 Mn
0.625 0.750 0.875 Mn
0.875 0.625 0.750 Mn
0.700 0.117 0.025 S
0.324 0.525 0.408 S
0.975 0.383 0.300 S
0.525 0.200 0.117 S
0.583 0.700 0.676 S
0.975 0.592 0.176 S
0.324 0.800 0.417 S
0.092 0.917 0.117 S
0.592 0.975 0.676 S
0.700 0.583 0.176 S
0.800 0.475 0.383 S
0.824 0.908 0.025 S
0.117 0.700 0.525 S
0.383 0.408 0.083 S
0.083 0.908 0.383 S
0.417 0.117 0.592 S
0.083 0.176 0.200 S
0.475 0.676 0.092 S
0.824 0.917 0.300 S
0.117 0.417 0.092 S
0.383 0.975 0.800 S
0.592 0.617 0.417 S
0.908 0.824 0.525 S
0.800 0.324 0.917 S
0.408 0.383 0.583 S
0.092 0.176 0.475 S
0.200 0.676 0.083 S
0.176 0.083 0.700 S
0.617 0.025 0.200 S
0.883 0.583 0.908 S
0.525 0.324 0.908 S
0.583 0.883 0.408 S
0.917 0.824 0.800 S
0.917 0.092 0.617 S
0.883 0.300 0.475 S
0.176 0.092 0.975 S
0.617 0.592 0.917 S
0.408 0.025 0.324 S
0.300 0.417 0.824 S
0.200 0.525 0.617 S
0.908 0.083 0.883 S
0.676 0.200 0.583 S
0.475 0.800 0.883 S
0.025 0.408 0.824 S
0.417 0.300 0.324 S
0.025 0.617 0.700 S
0.676 0.475 0.592 S
0.300 0.883 0.975 S


Entry 8:
LaMn3S PBE relaxed; uncorrected formation energy = 2.1818 eV/atom
1.0
4.536 0.000 0.000
0.000 4.536 0.000
0.000 0.000 4.536
S Mn La
1 3 1
Direct
0.500 0.500 0.500 S
0.000 0.500 0.000 Mn
0.000 0.000 0.500 Mn
0.500 0.000 0.000 Mn
0.000 0.000 0.000 La


Entry 9:
La2ScMnS6 PBE relaxed; uncorrected formation energy = -1.7157 eV/atom
1.0
6.477 0.000 -0.045
0.000 7.248 0.000
-0.004 0.000 9.330
La Sc Mn S
4 2 2 12
Direct
0.036 0.898 0.248 La
0.536 0.602 0.748 La
0.964 0.102 0.752 La
0.464 0.398 0.252 La
0.500 0.000 0.000 Sc
0.000 0.500 0.500 Sc
0.500 0.000 0.500 Mn
0.000 0.500 0.000 Mn
0.310 0.679 0.050 S
0.810 0.821 0.550 S
0.690 0.321 0.950 S
0.190 0.179 0.450 S
0.318 0.684 0.445 S
0.818 0.816 0.945 S
0.682 0.316 0.555 S
0.182 0.184 0.055 S
0.890 0.521 0.239 S
0.390 0.979 0.739 S
0.110 0.479 0.761 S
0.610 0.021 0.261 S


Entry 10:
La2ScMnS5 PBE relaxed; uncorrected formation energy = -1.7884 eV/atom
1.0
-3.883 0.015 0.657
0.848 -5.323 -6.669
1.222 -9.098 7.418
La Sc Mn S
4 2 2 10
Direct
0.869 0.738 0.810 La
0.115 0.229 0.689 La
0.131 0.262 0.310 La
0.885 0.771 0.189 La
0.801 0.601 0.513 Sc
0.199 0.399 0.013 Sc
0.557 0.114 0.951 Mn
0.443 0.886 0.451 Mn
0.355 0.710 0.003 S
0.690 0.380 0.863 S
0.496 0.993 0.774 S
0.289 0.578 0.663 S
0.951 0.901 0.559 S
0.645 0.290 0.503 S
0.310 0.620 0.363 S
0.504 0.007 0.274 S
0.711 0.422 0.163 S
0.049 0.099 0.059 S


Entry 11:
La2MnSnS5 PBE relaxed; uncorrected formation energy = -1.2835 eV/atom
1.0
3.978 0.000 0.000
-1.989 8.712 0.000
0.000 0.000 11.750
La Mn Sn S
4 2 2 10
Direct
0.870 0.740 0.833 La
0.105 0.210 0.696 La
0.130 0.260 0.333 La
0.895 0.790 0.196 La
0.526 0.052 0.922 Mn
0.474 0.948 0.422 Mn
0.811 0.621 0.543 Sn
0.189 0.379 0.043 Sn
0.342 0.684 0.016 S
0.649 0.298 0.871 S
0.480 0.960 0.743 S
0.276 0.551 0.713 S
0.993 0.986 0.486 S
0.658 0.316 0.516 S
0.351 0.702 0.371 S
0.520 0.040 0.243 S
0.724 0.449 0.213 S
0.007 0.014 0.986 S


Entry 12:
La3MnTl3S8 PBE relaxed; uncorrected formation energy = -1.2329 eV/atom
1.0
8.214 0.000 0.000
-4.107 7.113 -0.029
0.000 -4.713 7.558
La Mn Tl S
3 1 3 8
Direct
0.500 0.000 0.500 La
0.500 0.500 0.500 La
0.000 0.500 0.500 La
0.000 0.000 0.500 Mn
0.000 0.000 0.000 Tl
0.000 0.500 0.000 Tl
0.500 0.500 0.000 Tl
0.264 0.528 0.291 S
0.736 0.472 0.709 S
0.797 0.593 0.317 S
0.203 0.407 0.683 S
0.797 0.021 0.318 S
0.203 0.979 0.682 S
0.224 0.021 0.318 S
0.776 0.979 0.682 S


Number 1: uncorrected energy -27.43 eV/cell, spin magnetization 4.35 μB per formula unit. Number 2: uncorrected energy -27.93 eV/cell, spin magnetization 3.29 μB per formula unit. Number 3: uncorrected energy -33.38 eV/cell, spin magnetization 0.00 μB per formula unit. Number 4: uncorrected energy -36.43 eV/cell, spin magnetization 8.11 μB per formula unit. Number 5: uncorrected energy -121.35 eV/cell, spin magnetization 4.24 μB per formula unit. Number 6: uncorrected energy -132.30 eV/cell, spin magnetization 4.00 μB per formula unit. Number 7: uncorrected energy -531.56 eV/cell, spin magnetization 20.00 μB per formula unit. Number 8: uncorrected energy -25.65 eV/cell, spin magnetization 1.45 μB per formula unit. Number 9: uncorrected energy -134.56 eV/cell, spin magnetization 4.00 μB per formula unit. Number 10: uncorrected energy -124.18 eV/cell, spin magnetization 4.31 μB per formula unit. Number 11: uncorrected energy -110.43 eV/cell, spin magnetization 0.17 μB per formula unit. Number 12: uncorrected energy -82.56 eV/cell, spin magnetization 3.00 μB per formula unit.